## Ca2AlMo (PBE-GGA)

Data for Ca2AlMo after structural relaxation.

a = 6.013 Å, b = 9.896 Å, c = 3.046 Å
α = 90.00°, β = 92.54°, γ = 90.00°
Space group C2/m (No. 12)
Symmetry-distinct sites (fractional):
Ca  0.250  0.250  0.000 x4
Al  0.000  0.000  0.500 x2
Mo  0.000  0.500  0.500 x2

The raw total energy comes out at -4.123 eV/atom.

=====

## Ac2MnSiPt6 (PBE-GGA)

Data for Ac2MnSiPt6 after structural relaxation.

a = 11.939 Å, b = 5.628 Å, c = 8.325 Å
α = 90.00°, β = 130.78°, γ = 90.00°
Space group C2/m (No. 12)
Symmetry-distinct sites (fractional):
Ac  0.241  0.000  0.198 x4
Mn  0.000  0.500  0.000 x2
Si  0.000  0.000  0.500 x2
Pt  0.010  0.252  0.271 x8
Pt  0.249  0.000  0.620 x4

Its energy relative to the elements, uncorrected is -0.86 eV per atom.

=====

Number 1: D(E_F) 0.9289 states/eV per atom, spin magnetization 0.0000 μB/atom. Number 2: D(E_F) 0.3263 states/eV per atom, spin magnetization 0.3890 μB/atom.